[1]
# SiNiAs2Br | the Alexandria database | PBEsol | relaxed
# * mass density: 5247 kg/m³
data_SiNiAs2Br
_space_group_name_H-M_alt 'P 4/m m m'
_space_group_IT_number 123
_space_group_name_Hall '-P 4 2'
_cell_length_a 4.513
_cell_length_b 4.513
_cell_length_c 4.917
_cell_angle_alpha 90.00
_cell_angle_beta 90.00
_cell_angle_gamma 90.00
loop_
_atom_site_label
_atom_site_type_symbol
_atom_site_fract_x
_atom_site_fract_y
_atom_site_fract_z
Si1 Si 0.000 0.000 0.000
Ni1 Ni 0.500 0.500 0.500
As1 As 0.000 0.500 0.500
Br1 Br 0.500 0.500 0.000

[2]
# SrTlN2F | the Alexandria database | PBEsol | relaxed
# * mass density: 6874 kg/m³
data_SrTlN2F
_space_group_name_H-M_alt 'P 4/m m m'
_space_group_IT_number 123
_space_group_name_Hall '-P 4 2'
_cell_length_a 4.203
_cell_length_b 4.203
_cell_length_c 4.635
_cell_angle_alpha 90.00
_cell_angle_beta 90.00
_cell_angle_gamma 90.00
loop_
_atom_site_label
_atom_site_type_symbol
_atom_site_fract_x
_atom_site_fract_y
_atom_site_fract_z
Sr1 Sr 0.000 0.000 0.000
Tl1 Tl 0.500 0.500 0.500
N1 N 0.000 0.500 0.500
F1 F 0.500 0.500 0.000

[3]
# ScAsP2 | the Alexandria database | PBEsol | relaxed
# * energy of formation: -0.529 eV/atom
# * mass density: 4258 kg/m³
data_ScAsP2
_space_group_name_H-M_alt 'P 1 2/m 1'
_space_group_IT_number 10
_cell_length_a 3.892
_cell_length_b 3.615
_cell_length_c 5.311
_cell_angle_alpha 90.00
_cell_angle_beta 108.39
_cell_angle_gamma 90.00
loop_
_space_group_symop_operation_xyz
'x,y,z'
'-x,-y,-z'
'-x,y,-z'
'x,-y,z'
loop_
_atom_site_label
_atom_site_type_symbol
_atom_site_fract_x
_atom_site_fract_y
_atom_site_fract_z
Sc1 Sc 0.000 0.000 0.000
As1 As 0.500 0.000 0.500
P1 P 0.326 0.500 0.787

[4]
# LiZrOs2 | the Alexandria database | PBEsol | relaxed
# * energy of formation: 0.300 eV/atom
# * mass density: 13025 kg/m³
data_LiZrOs2
_space_group_name_H-M_alt 'R -3 m'
_space_group_IT_number 166
_space_group_name_Hall '-R 3 2"'
_cell_length_a 2.7412
_cell_length_b 2.7412
_cell_length_c 28.1306
_cell_angle_alpha 90.00
_cell_angle_beta 90.00
_cell_angle_gamma 120.00
loop_
_atom_site_label
_atom_site_type_symbol
_atom_site_fract_x
_atom_site_fract_y
_atom_site_fract_z
Li1 Li 0.0000 0.0000 0.0000
Zr1 Zr 0.0000 0.0000 0.5000
Os1 Os 0.0000 0.0000 0.2537

[5]
# SnMoPbSe2 | the Alexandria database | PBEsol | relaxed
# * mass density: 7411 kg/m³
data_SnMoPbSe2
_space_group_name_H-M_alt 'P 4/m m m'
_space_group_IT_number 123
_space_group_name_Hall '-P 4 2'
_cell_length_a 4.766
_cell_length_b 4.766
_cell_length_c 5.719
_cell_angle_alpha 90.00
_cell_angle_beta 90.00
_cell_angle_gamma 90.00
loop_
_atom_site_label
_atom_site_type_symbol
_atom_site_fract_x
_atom_site_fract_y
_atom_site_fract_z
Sn1 Sn 0.000 0.000 0.000
Mo1 Mo 0.500 0.500 0.500
Pb1 Pb 0.500 0.500 0.000
Se1 Se 0.000 0.500 0.500

[6]
# SrLaCo2 | the Alexandria database | PBEsol | relaxed
# * energy of formation: 0.321 eV/atom
# * excess energy over the best structure of this formula in the dataset: 0.000 eV/atom
# * mass density: 6225 kg/m³
data_SrLaCo2
_space_group_name_H-M_alt 'P 4 m m'
_space_group_IT_number 99
_cell_length_a 3.339
_cell_length_b 3.339
_cell_length_c 8.240
_cell_angle_alpha 90.00
_cell_angle_beta 90.00
_cell_angle_gamma 90.00
loop_
_space_group_symop_operation_xyz
'x,y,z'
'-y,x,z'
'-x,-y,z'
'y,-x,z'
'-x,y,z'
'y,x,z'
'x,-y,z'
'-y,-x,z'
loop_
_atom_site_label
_atom_site_type_symbol
_atom_site_fract_x
_atom_site_fract_y
_atom_site_fract_z
Sr1 Sr 0.000 0.000 0.000
La1 La 0.500 0.500 0.569
Co1 Co 0.000 0.000 0.345
Co2 Co 0.500 0.500 0.270

[7]
# Cs2KU2Si4O14 | the Alexandria database | PBEsol | relaxed
# * mass density: 4931 kg/m³
data_Cs2KU2Si4O14
_space_group_name_H-M_alt 'C m m m'
_space_group_IT_number 65
_space_group_name_Hall '-C 2 2'
_cell_length_a 8.428
_cell_length_b 11.704
_cell_length_c 7.629
_cell_angle_alpha 90.00
_cell_angle_beta 90.00
_cell_angle_gamma 90.00
loop_
_atom_site_label
_atom_site_type_symbol
_atom_site_fract_x
_atom_site_fract_y
_atom_site_fract_z
Cs1 Cs 0.000 0.215 0.000
K1 K 0.000 0.000 0.500
U1 U 0.250 0.250 0.500
Si1 Si 0.193 0.500 0.205
O1 O 0.000 0.249 0.500
O2 O 0.000 0.500 0.198
O3 O 0.239 0.115 0.295
O4 O 0.243 0.000 0.000

[8]
# ScAlPO2 | the Alexandria database | PBEsol | relaxed
# * excess energy over the best structure of this formula in the dataset: 0.545 eV/atom
# * mass density: 2754 kg/m³
data_ScAlPO2
_space_group_name_H-M_alt 'P 4/m m m'
_space_group_IT_number 123
_space_group_name_Hall '-P 4 2'
_cell_length_a 3.883
_cell_length_b 3.883
_cell_length_c 5.395
_cell_angle_alpha 90.00
_cell_angle_beta 90.00
_cell_angle_gamma 90.00
loop_
_atom_site_label
_atom_site_type_symbol
_atom_site_fract_x
_atom_site_fract_y
_atom_site_fract_z
Sc1 Sc 0.000 0.000 0.000
Al1 Al 0.500 0.500 0.500
P1 P 0.000 0.000 0.500
O1 O 0.000 0.500 0.000

[9]
# LiW2Cl | the Alexandria database | PBEsol | relaxed
# * excess energy over the best structure of this formula in the dataset: 0.383 eV/atom
# * mass density: 12389 kg/m³
data_LiW2Cl
_space_group_name_H-M_alt 'P 4/m m m'
_space_group_IT_number 123
_space_group_name_Hall '-P 4 2'
_cell_length_a 4.497
_cell_length_b 4.497
_cell_length_c 2.718
_cell_angle_alpha 90.00
_cell_angle_beta 90.00
_cell_angle_gamma 90.00
loop_
_atom_site_label
_atom_site_type_symbol
_atom_site_fract_x
_atom_site_fract_y
_atom_site_fract_z
Li1 Li 0.000 0.000 0.000
W1 W 0.000 0.500 0.500
Cl1 Cl 0.500 0.500 0.000

[10]
# Tl2AgHg2 | the Alexandria database | PBEsol | relaxed
# * energy of formation: 0.084 eV/atom
# * mass density: 12195 kg/m³
data_Tl2AgHg2
_space_group_name_H-M_alt 'P 4/m b m'
_space_group_IT_number 127
_space_group_name_Hall '-P 4 2ab'
_cell_length_a 7.295
_cell_length_b 7.295
_cell_length_c 4.696
_cell_angle_alpha 90.00
_cell_angle_beta 90.00
_cell_angle_gamma 90.00
loop_
_atom_site_label
_atom_site_type_symbol
_atom_site_fract_x
_atom_site_fract_y
_atom_site_fract_z
Tl1 Tl 0.169 0.331 0.000
Ag1 Ag 0.000 0.000 0.500
Hg1 Hg 0.144 0.644 0.500

[11]
# TcMo | the Alexandria database | PBEsol | relaxed
# * energy of formation: 0.097 eV/atom
# * excess energy over the best structure of this formula in the dataset: 0.010 eV/atom
# * mass density: 10957 kg/m³
data_TcMo
_space_group_name_H-M_alt 'P m -3 m'
_space_group_IT_number 221
_space_group_name_Hall '-P 4 2 3'
_cell_length_a 3.086
_cell_length_b 3.086
_cell_length_c 3.086
_cell_angle_alpha 90.00
_cell_angle_beta 90.00
_cell_angle_gamma 90.00
loop_
_atom_site_label
_atom_site_type_symbol
_atom_site_fract_x
_atom_site_fract_y
_atom_site_fract_z
Tc1 Tc 0.000 0.000 0.000
Mo1 Mo 0.500 0.500 0.500

[12]
# ScReSb | the Alexandria database | PBEsol | relaxed
# * mass density: 9311 kg/m³
data_ScReSb
_space_group_name_H-M_alt 'F -4 3 m'
_space_group_IT_number 216
_space_group_name_Hall 'F -4 2 3'
_cell_length_a 6.314
_cell_length_b 6.314
_cell_length_c 6.314
_cell_angle_alpha 90.00
_cell_angle_beta 90.00
_cell_angle_gamma 90.00
loop_
_atom_site_label
_atom_site_type_symbol
_atom_site_fract_x
_atom_site_fract_y
_atom_site_fract_z
Sc1 Sc 0.000 0.000 0.000
Re1 Re 0.000 0.000 0.500
Sb1 Sb 0.250 0.250 0.250

Number 1: D(E_F) 5.4 states/eV/f.u., energy -4.198 eV per atom. Number 2: D(E_F) 3.3 states/eV/f.u., energy -4.790 eV per atom. Number 3: D(E_F) 0.7 states/eV/f.u., energy -6.353 eV per atom. Number 4: D(E_F) 4.7 states/eV/f.u., energy -8.572 eV per atom. Number 5: D(E_F) 3.6 states/eV/f.u., energy -5.297 eV per atom. Number 6: D(E_F) 4.5 states/eV/f.u., energy -5.344 eV per atom. Number 7: D(E_F) 7.7 states/eV/f.u., energy -8.184 eV per atom. Number 8: D(E_F) 3.2 states/eV/f.u., energy -6.447 eV per atom. Number 9: D(E_F) 3.3 states/eV/f.u., energy -6.695 eV per atom. Number 10: D(E_F) 2.1 states/eV/f.u., energy -1.857 eV per atom. Number 11: D(E_F) 2.1 states/eV/f.u., energy -11.420 eV per atom. Number 12: D(E_F) 3.2 states/eV/f.u., energy -7.814 eV per atom.